Entry 1:
A plane-wave DFT calculation with PBE was carried out for KTa3 after structural relaxation.

Structure (CIF):
```
data_KTa3
_symmetry_space_group_name_H-M 'C 1 2/m 1'
_symmetry_Int_Tables_number 12
_cell_length_a 9.058
_cell_length_b 2.880
_cell_length_c 8.038
_cell_angle_alpha 90.00
_cell_angle_beta 92.24
_cell_angle_gamma 90.00
loop_
_symmetry_equiv_pos_as_xyz
'x,y,z'
'-x,-y,-z'
'-x,y,-z'
'x,-y,z'
'x+1/2,y+1/2,z'
'-x+1/2,-y+1/2,-z'
'-x+1/2,y+1/2,-z'
'x+1/2,-y+1/2,z'
loop_
_atom_site_label
_atom_site_type_symbol
_atom_site_fract_x
_atom_site_fract_y
_atom_site_fract_z
K1 K 0.000 0.000 0.000
Ta1 Ta 0.000 0.500 0.500
Ta2 Ta 0.238 0.000 0.657
```

Output
Offset from the most stable computed form in kcal/mol of atoms: 5.00
Density of states at the Fermi level in states/eV/atom: 0.966
Calculated density in g/cm3: 9.22
E_tot in eV/atom: -8.22
ΔH_f (0 K) in eV per formula unit: 3.78

=====

Entry 2:
A plane-wave DFT calculation with PBE was carried out for KTa3 after structural relaxation.

Structure (CIF):
```
data_KTa3
_symmetry_space_group_name_H-M 'I m m m'
_symmetry_Int_Tables_number 71
_symmetry_space_group_name_Hall '-I 2 2'
_cell_length_a 2.886
_cell_length_b 5.708
_cell_length_c 10.907
_cell_angle_alpha 90.00
_cell_angle_beta 90.00
_cell_angle_gamma 90.00
loop_
_atom_site_label
_atom_site_type_symbol
_atom_site_fract_x
_atom_site_fract_y
_atom_site_fract_z
K1 K 0.000 0.000 0.000
Ta1 Ta 0.000 0.000 0.500
Ta2 Ta 0.000 0.500 0.218
```

Output
Offset from the most stable computed form in kcal/mol of atoms: 11.39
Density of states at the Fermi level in states/eV/atom: 1.193
Calculated density in g/cm3: 10.76
E_tot in eV/atom: -7.94
ΔH_f (0 K) in eV per formula unit: 4.89

=====

Entry 3:
A plane-wave DFT calculation with PBE was carried out for KTa3 after structural relaxation.

Structure (CIF):
```
data_KTa3
_symmetry_space_group_name_H-M 'R -3 m'
_symmetry_Int_Tables_number 166
_symmetry_space_group_name_Hall '-R 3 2"'
_cell_length_a 10.3779
_cell_length_b 10.3779
_cell_length_c 2.6928
_cell_angle_alpha 90.00
_cell_angle_beta 90.00
_cell_angle_gamma 120.00
loop_
_atom_site_label
_atom_site_type_symbol
_atom_site_fract_x
_atom_site_fract_y
_atom_site_fract_z
K1 K 0.0000 0.0000 0.0000
Ta1 Ta 0.0000 0.5000 0.0000
```

Output
Offset from the most stable computed form in kcal/mol of atoms: 12.08
Density of states at the Fermi level in states/eV/atom: 1.789
Calculated density in g/cm3: 11.54
E_tot in eV/atom: -7.91
ΔH_f (0 K) in eV per formula unit: 5.01

=====

Entry 4:
A plane-wave DFT calculation with PBE was carried out for KTa3 after structural relaxation.

Structure (CIF):
```
data_KTa3
_symmetry_space_group_name_H-M 'F m -3 m'
_symmetry_Int_Tables_number 225
_symmetry_space_group_name_Hall '-F 4 2 3'
_cell_length_a 6.909
_cell_length_b 6.909
_cell_length_c 6.909
_cell_angle_alpha 90.00
_cell_angle_beta 90.00
_cell_angle_gamma 90.00
loop_
_atom_site_label
_atom_site_type_symbol
_atom_site_fract_x
_atom_site_fract_y
_atom_site_fract_z
K1 K 0.000 0.000 0.000
Ta1 Ta 0.000 0.000 0.500
Ta2 Ta 0.250 0.250 0.250
```

Output
Offset from the most stable computed form in kcal/mol of atoms: 16.73
Density of states at the Fermi level in states/eV/atom: 1.341
Calculated density in g/cm3: 11.72
E_tot in eV/atom: -7.71
ΔH_f (0 K) in eV per formula unit: 5.81